<w>
Material: MgAlTl2
Method: DFT, PBE
State: optimized geometry

M_tot (μB/atom): 0.000
Symmetry: Fm-3m

a = 5.194 Å, b = 5.194 Å, c = 5.194 Å
α = 60.00°, β = 60.00°, γ = 60.00°
Positions (direct):
Mg  0.000  0.000  0.000
Al  0.500  0.500  0.500
Tl  0.250  0.250  0.250
Tl  0.750  0.750  0.750


<x>
Material: MgAlTl2
Method: DFT, PBE
State: optimized geometry

M_tot (μB/atom): 0.000
Symmetry: P4mm

a = 3.270 Å, b = 3.270 Å, c = 9.418 Å
α = 90.00°, β = 90.00°, γ = 90.00°
Positions (direct):
Mg  0.000  0.000  0.000
Al  0.500  0.500  0.797
Tl  0.000  0.000  0.544
Tl  0.500  0.500  0.247


Energies relative to the most stable structure, in meV/atom: <w> 53; <x> 0.


<w>
Material: LiSnS
Method: DFT, PBE
State: optimized geometry

M_tot (μB/atom): 0.000
Symmetry: Pmmm

a = 3.483 Å, b = 3.592 Å, c = 4.864 Å
α = 90.00°, β = 90.00°, γ = 90.00°
Positions (direct):
Li  0.000  0.000  0.000
Sn  0.000  0.500  0.500
S  0.500  0.500  0.000


<x>
Material: LiSnS
Method: DFT, PBE
State: optimized geometry

M_tot (μB/atom): 0.000
Symmetry: P2/c

a = 6.339 Å, b = 3.505 Å, c = 6.926 Å
α = 90.00°, β = 122.62°, γ = 90.00°
Positions (direct):
Li  0.000  0.000  0.250
Li  0.000  0.000  0.750
Sn  0.500  0.498  0.250
Sn  0.500  0.502  0.750
S  0.000  0.500  0.000
S  0.000  0.500  0.500


Energies relative to the most stable structure, in meV/atom: <w> 17; <x> 0.


<w>
Material: Co2ReTc
Method: DFT, PBE
State: optimized geometry

M_tot (μB/atom): 0.911
Symmetry: Fm-3m

a = 4.181 Å, b = 4.181 Å, c = 4.181 Å
α = 60.00°, β = 60.00°, γ = 60.00°
Positions (direct):
Co  0.250  0.250  0.250
Co  0.750  0.750  0.750
Re  0.000  0.000  0.000
Tc  0.500  0.500  0.500


<x>
Material: Co2ReTc
Method: DFT, PBE
State: optimized geometry

M_tot (μB/atom): 0.089
Symmetry: I4/mmm

a = 4.541 Å, b = 4.541 Å, c = 4.541 Å
α = 132.26°, β = 132.26°, γ = 69.81°
Positions (direct):
Co  0.250  0.750  0.500
Co  0.750  0.250  0.500
Re  0.000  0.000  0.000
Tc  0.500  0.500  0.000


Energies relative to the most stable structure, in meV/atom: <w> 253; <x> 0.


<w>
Material: CrMo2Au
Method: DFT, PBE
State: optimized geometry

M_tot (μB/atom): 0.001
Symmetry: Cmm2

a = 2.701 Å, b = 2.701 Å, c = 8.861 Å
α = 90.00°, β = 90.00°, γ = 107.21°
Positions (direct):
Cr  0.000  0.000  0.000
Mo  0.000  0.000  0.522
Mo  0.500  0.500  0.774
Au  0.500  0.500  0.251


<x>
Material: CrMo2Au
Method: DFT, PBE
State: optimized geometry

M_tot (μB/atom): 0.604
Symmetry: F-43m

a = 4.471 Å, b = 4.471 Å, c = 4.471 Å
α = 60.00°, β = 60.00°, γ = 60.00°
Positions (direct):
Cr  0.000  0.000  0.000
Mo  0.500  0.500  0.500
Mo  0.750  0.750  0.750
Au  0.250  0.250  0.250


Energies relative to the most stable structure, in meV/atom: <w> 0; <x> 143.


<w>
Material: LaScAs2Br
Method: DFT, PBE
State: optimized geometry

M_tot (μB/atom): 0.254
Symmetry: P4/mmm

a = 5.394 Å, b = 5.394 Å, c = 5.322 Å
α = 90.00°, β = 90.00°, γ = 90.00°
Positions (direct):
La  0.000  0.000  0.000
Sc  0.500  0.500  0.000
As  0.000  0.500  0.500
As  0.500  0.000  0.500
Br  0.000  0.000  0.500


<x>
Material: LaScAs2Br
Method: DFT, PBE
State: optimized geometry

M_tot (μB/atom): 0.000
Symmetry: P4/mmm

a = 5.136 Å, b = 5.136 Å, c = 5.139 Å
α = 90.00°, β = 90.00°, γ = 90.00°
Positions (direct):
La  0.000  0.000  0.000
Sc  0.500  0.500  0.500
As  0.000  0.500  0.500
As  0.500  0.000  0.500
Br  0.500  0.500  0.000


Energies relative to the most stable structure, in meV/atom: <w> 1281; <x> 0.


<w>
Material: BC2
Method: DFT, PBE
State: optimized geometry

M_tot (μB/atom): 0.000
Symmetry: P1

a = 3.721 Å, b = 3.723 Å, c = 5.783 Å
α = 106.56°, β = 91.40°, γ = 91.65°
Positions (direct):
B  0.000  0.000  0.000
B  0.019  0.711  0.293
B  0.430  0.125  0.293
B  0.715  0.555  0.516
C  0.218  0.037  0.514
C  0.233  0.678  0.823
C  0.245  0.374  0.151
C  0.468  0.867  0.666
C  0.488  0.505  0.981
C  0.701  0.831  0.151
C  0.719  0.196  0.825
C  0.983  0.348  0.662


<x>
Material: BC2
Method: DFT, PBE
State: optimized geometry

M_tot (μB/atom): 0.000
Symmetry: I-4m2

a = 3.657 Å, b = 3.657 Å, c = 3.657 Å
α = 135.38°, β = 135.38°, γ = 64.94°
Positions (direct):
B  0.000  0.000  0.000
C  0.639  0.139  0.500
C  0.861  0.361  0.500


Energies relative to the most stable structure, in meV/atom: <w> 0; <x> 399.